Here is a PBEsol-optimized structure of AlPtCl2 from the Alexandria database. Energies are from meta-GGA SCAN.

Summary:
Raw formation energy = 32 meV per atom
Space-group type = Pmmm, No. 47
Excess energy over the best structure of this formula in the dataset = 787.8 meV per atom

Lattice parameters (Å, degrees): 2.979 4.231 5.331 90.00 90.00 90.00
Fractional positions:
Al 0.000 0.000 0.000
Pt 0.500 0.000 0.500
Cl 0.000 0.500 0.500
Cl 0.500 0.500 0.000